# 1
Entry from the Alexandria database: crystalline Y2ErH at its relaxed geometry (GGA-PBE).

```
Y2ErH
1.0
3.350 0.000 0.000
0.000 3.350 0.000
0.000 0.000 8.457
Y H Er
2 1 1
Cartesian
0.000 0.000 6.825
0.000 0.000 1.632
1.675 1.675 0.000
1.675 1.675 4.229
```

Symmetry   P4/mmm (123)
E   -5.0909 eV per atom
Total magnetic moment   0.0 μB per formula unit

---

# 2
Entry from the Alexandria database: crystalline AlCr2Co at its relaxed geometry (GGA-PBE).

```
AlCr2Co
1.0
-1.684 0.163 1.939
1.520 -1.489 1.447
3.407 5.874 2.466
Cr Co Al
2 1 1
Cartesian
3.352 5.779 2.426
1.758 3.031 1.273
2.473 3.742 3.542
0.770 0.805 2.309
```

Symmetry   P4/mmm (123)
Energy of formation   0.0243 eV/atom
E   -7.4995 eV per atom
Total magnetic moment   0.6 μB per formula unit

---

# 3
Entry from the Alexandria database: crystalline Na8B13C3 at its relaxed geometry (GGA-PBE).

```
Na8B13C3
1.0
-1.075 -2.416 1.293
2.027 1.629 1.379
-24.921 18.810 14.411
Na C B
8 3 13
Cartesian
-24.842 18.751 14.365
-3.068 2.316 1.774
-6.222 4.697 3.598
-9.376 7.077 5.422
-12.522 9.452 7.241
-15.587 11.765 9.013
-18.735 14.141 10.834
-21.790 16.447 12.600
-13.056 10.885 9.474
-19.279 15.582 13.073
-23.354 16.529 14.802
-0.503 1.410 2.215
-4.691 2.442 4.011
-3.657 3.791 4.039
-1.537 0.062 2.187
-6.802 6.165 5.858
-10.989 7.196 7.653
-9.955 8.545 7.681
-7.836 4.817 5.829
-17.201 11.885 11.245
-16.167 13.233 11.273
-14.091 9.538 9.446
-22.320 17.878 14.831
-20.312 14.233 13.043
```

Symmetry   P3m1 (156)
Energy of formation   0.2295 eV/atom
E   -4.9801 eV per atom
Total magnetic moment   0.0 μB per formula unit

---

# 4
Entry from the Alexandria database: crystalline CeGa3Ru2 at its relaxed geometry (GGA-PBE).

```
CeGa3Ru2
1.0
5.822 0.000 0.000
0.000 6.035 0.656
0.000 -1.373 5.913
Ce Ga Ru
2 6 4
Cartesian
1.456 1.705 2.403
4.367 2.957 4.166
4.367 2.508 0.906
4.367 0.028 2.667
1.456 2.154 5.662
4.367 0.040 0.056
1.456 4.622 6.513
1.456 4.634 3.902
2.911 4.335 1.862
0.000 4.335 1.862
0.000 0.327 4.707
2.911 0.327 4.707
```

Symmetry   Cmcm (63)
Energy of formation   -0.4759 eV/atom
E   -6.0702 eV per atom
Total magnetic moment   0.1 μB per formula unit

---

# 5
Entry from the Alexandria database: crystalline CsTmTl5 at its relaxed geometry (GGA-PBE).

```
CsTmTl5
1.0
4.646 0.000 0.000
0.000 4.646 0.000
0.000 0.000 11.769
Cs Tm Tl
1 1 5
Cartesian
0.000 0.000 5.884
2.323 2.323 0.000
0.000 2.323 2.536
0.000 2.323 9.233
2.323 0.000 2.536
2.323 0.000 9.233
0.000 0.000 0.000
```

Symmetry   P4/mmm (123)
Energy of formation   -0.0791 eV/atom
E   -2.5301 eV per atom
Total magnetic moment   0.0 μB per formula unit

---

# 6
Entry from the Alexandria database: crystalline PrNd2Zn2In2 at its relaxed geometry (GGA-PBE).

```
PrNd2Zn2In2
1.0
4.780 0.000 0.000
2.390 4.140 0.000
2.390 1.380 9.477
Pr Nd Zn In
1 2 2 2
Cartesian
0.000 0.000 0.000
2.390 1.380 5.816
7.170 4.140 3.661
4.780 2.760 1.988
4.780 2.760 7.488
7.170 4.140 7.507
2.390 1.380 1.970
```

Symmetry   R-3m (166)
Energy of formation   -0.3071 eV/atom
E   -3.4985 eV per atom
Total magnetic moment   0.0 μB per formula unit

---

# 7
Entry from the Alexandria database: crystalline MgZr2Pd at its relaxed geometry (GGA-PBE).

```
MgZr2Pd
1.0
3.073 0.000 0.000
1.537 2.662 0.000
1.537 0.887 10.085
Mg Zr Pd
1 2 1
Cartesian
3.073 1.774 5.046
1.537 0.887 7.776
1.537 0.887 2.308
4.610 2.662 10.082
```

Symmetry   R3m (160)
Energy of formation   -0.1477 eV/atom
E   -6.1186 eV per atom
Total magnetic moment   0.0 μB per formula unit

---

# 8
Entry from the Alexandria database: crystalline Zr2CoIr at its relaxed geometry (GGA-PBE).

```
Zr2CoIr
1.0
5.339 -0.001 0.000
2.530 4.702 0.000
-3.935 -2.351 2.739
Co Ir Zr
1 1 2
Cartesian
3.935 2.351 0.000
2.670 0.000 1.369
0.000 0.000 0.000
1.265 2.351 1.369
```

Symmetry   I-4m2 (119)
Energy of formation   -0.3872 eV/atom
E   -8.6530 eV per atom
Total magnetic moment   0.0 μB per formula unit

---

# 9
Entry from the Alexandria database: crystalline LaZn2Te at its relaxed geometry (GGA-PBE).

```
LaZn2Te
1.0
-4.534 -1.149 -0.526
-2.125 -3.041 2.897
-3.179 3.070 3.935
La Te Zn
1 1 2
Cartesian
-4.953 -0.260 3.342
-2.255 -0.335 1.402
-3.132 2.409 3.536
-7.595 -0.422 5.113
```

Symmetry   Cm (8)
Raw formation energy   -552 meV per atom
E   -3.2066 eV per atom
Total magnetic moment   0.0 μB per formula unit

---

# 10
Entry from the Alexandria database: crystalline Ac4NiSn at its relaxed geometry (GGA-PBE).

```
Ac4NiSn
1.0
5.898 0.016 0.000
-2.941 7.468 0.000
0.000 0.000 10.666
Ac Ni Sn
8 2 2
Cartesian
1.478 5.555 8.000
1.479 1.930 2.667
1.491 1.749 8.000
1.467 5.735 2.667
-1.475 5.999 10.593
4.433 1.485 5.260
-1.475 5.999 5.406
4.433 1.485 0.073
4.448 0.939 8.000
-1.490 6.546 2.667
4.432 3.690 8.000
-1.474 3.794 2.667
```

Symmetry   P2_1/m (11)
Energy of formation   -0.1990 eV/atom
E   -4.5687 eV per atom
Total magnetic moment   0.0 μB per formula unit

---

# 11
Entry from the Alexandria database: crystalline RbClF3 at its relaxed geometry (GGA-PBE).

```
RbClF3
1.0
6.600 0.000 0.000
0.000 6.600 0.000
3.300 3.300 4.692
F Rb Cl
6 2 2
Cartesian
3.300 3.300 2.806
6.600 6.600 1.886
1.996 1.996 0.000
4.604 4.604 0.000
4.604 1.996 0.000
1.996 4.604 0.000
6.600 3.300 2.346
3.300 6.600 2.346
3.300 3.300 0.000
0.000 0.000 0.000
```

Symmetry   I4/mmm (139)
Raw formation energy   -1503 meV per atom
E   -3.1890 eV per atom
Total magnetic moment   0.0 μB per formula unit

---

# 12
Entry from the Alexandria database: crystalline CaTl2Bi at its relaxed geometry (GGA-PBE).

```
CaTl2Bi
1.0
-8.207 2.205 3.023
-3.421 -7.372 -3.910
-5.271 -4.270 2.260
Tl Ca Bi
4 2 2
Cartesian
-7.014 -0.574 2.017
-4.342 -5.437 -1.553
-8.255 -5.015 1.428
-14.185 -7.850 0.851
-5.814 -2.584 -0.444
-7.253 -7.113 -1.047
0.000 0.000 0.000
-9.646 -2.324 2.419
```

Symmetry   I-42d (122)
Energy of formation   -0.2314 eV/atom
E   -2.8851 eV per atom
Total magnetic moment   0.0 μB per formula unit